No. 1
Entry from Alexandria: crystalline CuTcHg at its relaxed geometry (PBE).

Structure (POSCAR):
```
CuTcHg
1.0
0.000 2.999 2.999
2.999 0.000 2.999
2.999 2.999 0.000
Cu Tc Hg
1 1 1
Cartesian
0.000 0.000 0.000 Cu
1.500 1.500 1.500 Tc
4.499 4.499 4.499 Hg
```

D(E_F) ... 0.6 states/eV/cell
Energy relative to the lowest polymorph listed for this composition ... 30.92 kJ per mole of atoms
Crystal system ... cubic

No. 2
Entry from Alexandria: crystalline NdTlCdHg at its relaxed geometry (PBE).

Structure (POSCAR):
```
NdTlCdHg
1.0
0.000 3.732 3.732
3.732 0.000 3.732
3.732 3.732 0.000
Nd Tl Cd Hg
1 1 1 1
Cartesian
0.000 0.000 0.000 Nd
5.599 5.599 5.599 Tl
3.732 3.732 3.732 Cd
1.866 1.866 1.866 Hg
```

D(E_F) ... 0.5 states/eV/cell
E ... -2.400 eV per atom
Crystal system ... cubic

No. 3
Entry from Alexandria: crystalline Ca4ScIr at its relaxed geometry (PBE).

Structure (POSCAR):
```
Ca4ScIr
1.0
0.000 4.421 4.421
4.421 0.000 4.421
4.421 4.421 0.000
Ca Sc Ir
4 1 1
Cartesian
1.099 1.099 1.099 Ca
3.322 3.322 1.099 Ca
3.322 1.099 3.322 Ca
1.099 3.322 3.322 Ca
4.421 4.421 4.421 Sc
6.631 6.631 6.631 Ir
```

D(E_F) ... 9.6 states/eV/cell
E ... -3.093 eV per atom
Crystal system ... cubic

No. 4
Entry from Alexandria: crystalline MgAgSnPb at its relaxed geometry (PBE).

Structure (POSCAR):
```
MgAgSnPb
1.0
0.000 3.651 3.651
3.651 0.000 3.651
3.651 3.651 0.000
Mg Ag Sn Pb
1 1 1 1
Cartesian
0.000 0.000 0.000 Mg
3.651 3.651 3.651 Ag
5.476 5.476 5.476 Sn
1.825 1.825 1.825 Pb
```

D(E_F) ... 1.6 states/eV/cell
E ... -3.012 eV per atom
Crystal system ... cubic

No. 5
Entry from Alexandria: crystalline RbY3Hf at its relaxed geometry (PBE).

Structure (POSCAR):
```
RbY3Hf
1.0
5.851 0.000 0.000
0.000 5.851 0.000
0.000 0.000 5.851
Rb Y Hf
1 3 1
Cartesian
0.000 0.000 0.000 Rb
0.000 2.925 2.925 Y
2.925 0.000 2.925 Y
2.925 2.925 0.000 Y
2.925 2.925 2.925 Hf
```

D(E_F) ... 3.0 states/eV/cell
Energy relative to the lowest polymorph listed for this composition ... 0.00 kJ per mole of atoms
Crystal system ... cubic

No. 6
Entry from Alexandria: crystalline RbMg2SiPt at its relaxed geometry (PBE).

Structure (POSCAR):
```
RbMg2SiPt
1.0
5.221 0.000 0.000
0.000 5.221 0.000
0.000 0.000 4.707
Rb Mg Si Pt
1 2 1 1
Cartesian
0.000 0.000 0.000 Rb
0.000 2.610 2.353 Mg
2.610 0.000 2.353 Mg
2.610 2.610 0.000 Si
2.610 2.610 2.353 Pt
```

D(E_F) ... 3.0 states/eV/cell
ΔE_f (raw) ... -0.212 eV per atom
Crystal system ... tetragonal

- D(E_F) of number 5 (RbY3Hf)?
  3.0 states/eV/cell

- Which of these has the highest D(E_F)?
  Ca4ScIr

- D(E_F) of number 4 (MgAgSnPb)?
  1.6 states/eV/cell

- Which of these has the highest D(E_F)?
  Ca4ScIr